First-principles (PBE) data for crystalline CuS2I6 at its relaxed geometry, as listed in OQMD via LeMat-Bulk.

* volume: 37.3 Å³/atom
* final energy: -2.281 eV/atom

Unit cell a=4.8721 b=7.7754 c=9.2675 alpha=103.24 beta=98.58 gamma=94.54
Space group P-1 (No. 2)
Unique sites:
Cu 0.0000 0.0000 0.0000 [1 per cell]
S 0.2639 0.2220 0.2062 [2 per cell]
I 0.0214 0.4891 0.2008 [2 per cell]
I 0.2565 0.1843 0.4611 [2 per cell]
I 0.2945 0.1685 0.8455 [2 per cell]